Below is a crystal of As2IrSe relaxed with PBEsol, with properties calculated at the SCAN level.

Unit cell a=3.487 b=3.974 c=6.082 alpha=109.07 beta=106.66 gamma=90.00
Fractional positions:
1 Se 0.175 0.675 0.351
2 As 0.831 0.331 0.663
3 As 0.986 0.986 0.973
4 Ir 0.507 0.507 0.014

Results
formation energy (no corrections): 0.1612 eV/atom

***

Below is a crystal of TlAsRh2 relaxed with PBEsol, with properties calculated at the SCAN level.

Unit cell a=3.267 b=4.533 c=5.286 alpha=103.20 beta=90.00 gamma=111.13
Fractional positions:
1 Tl 0.506 0.011 0.470
2 Rh 0.981 0.962 0.907
3 Rh 0.744 0.488 0.222
4 As 0.269 0.539 0.902

Results
ΔE_f: -101 meV/atom

***

Below is a crystal of ZrCu2Ag relaxed with PBEsol, with properties calculated at the SCAN level.

Unit cell a=4.402 b=4.402 c=4.402 alpha=60.01 beta=90.00 gamma=119.99
Fractional positions:
1 Cu 0.250 0.500 0.250
2 Cu 0.750 0.500 0.750
3 Zr 0.000 0.000 0.000
4 Ag 0.500 0.000 0.500

Results
ΔE_f: -99 meV/atom
excess energy over the best structure of this formula in the dataset: 0.0000 eV per atom

***

Below is a crystal of YTc2P relaxed with PBEsol, with properties calculated at the SCAN level.

Unit cell a=3.108 b=4.668 c=5.043 alpha=107.98 beta=90.00 gamma=109.45
Fractional positions:
1 Tc 0.286 0.572 0.318
2 Tc 0.714 0.428 0.682
3 Y 0.500 0.000 0.000
4 P 0.000 0.000 0.500

Results
ΔE_f: -240 meV/atom

***

Below is a crystal of Sr2NiHg relaxed with PBEsol, with properties calculated at the SCAN level.

Unit cell a=4.462 b=4.474 c=6.138 alpha=111.38 beta=90.00 gamma=90.00
Fractional positions:
1 Sr 0.000 0.108 0.216
2 Sr 0.500 0.393 0.785
3 Ni 0.500 0.691 0.382
4 Hg 0.000 0.811 0.622

Results
ΔE_f: -270 meV/atom

***

Below is a crystal of ScCuBi3 relaxed with PBEsol, with properties calculated at the SCAN level.

Unit cell a=5.171 b=5.171 c=5.171 alpha=90.00 beta=90.00 gamma=90.00
Fractional positions:
1 Bi 0.500 0.000 0.000
2 Bi 0.000 0.000 0.500
3 Bi 0.000 0.500 0.000
4 Sc 0.500 0.500 0.500
5 Cu 0.000 0.000 0.000

Results
ΔE_f: 306 meV/atom